The following is a DFT calculation (meta-GGA SCAN) of USe2 at its PBEsol-relaxed geometry.

Structure (extended XYZ):
```
30
Lattice="-4.943 -3.368 2.159 6.358 -5.148 6.529 -1.710 7.234 7.369" Properties=species:S:1:pos:R:3 pbc="T T T"
U 3.846 -4.043 7.174
U 1.807 0.555 9.677
U 0.374 -0.149 5.298
U -1.664 4.448 7.802
U -1.127 -5.507 5.145
U -2.665 0.461 8.675
U -2.993 -2.176 3.810
U 0.221 -0.793 13.328
U -0.107 -3.430 8.463
U -1.492 3.183 3.963
Se 1.278 -5.131 6.598
Se -0.715 0.615 10.998
Se -0.799 -2.727 5.591
Se -2.793 3.019 9.992
Se 2.336 2.524 11.647
Se 2.745 -1.916 5.656
Se 0.658 3.154 8.786
Se 1.067 -1.286 2.795
Se 2.324 1.043 6.949
Se 0.000 0.000 0.000
Se -3.686 -1.038 6.313
Se -4.988 1.756 7.691
Se 0.994 -5.557 9.981
Se -0.308 -2.763 11.359
Se -0.148 -0.641 8.028
Se -2.472 -1.684 1.079
Se -1.537 1.890 6.485
Se -1.820 0.403 3.516
Se 2.744 -0.854 12.008
Se 2.461 -2.341 9.039
```

Properties
Symmetry: P4/n, No. 85
Formation energy from raw total energies, meV per atom: -1107.4



The following is a DFT calculation (meta-GGA SCAN) of V5Se8 at its PBEsol-relaxed geometry.

Structure (extended XYZ):
```
13
Lattice="6.774 -0.089 -0.023 -3.218 5.962 0.023 -1.888 -2.870 5.837" Properties=species:S:1:pos:R:3 pbc="T T T"
V 0.000 0.000 0.000
V 4.237 1.447 0.305
V -2.569 1.556 5.532
V 3.519 0.297 2.907
V -1.850 2.706 2.930
Se -0.322 2.245 1.027
Se 1.990 0.757 4.809
Se 0.251 -2.115 4.809
Se 1.417 5.117 1.027
Se 1.425 -0.863 1.878
Se 0.243 3.866 3.958
Se 2.743 2.352 1.951
Se -1.075 0.651 3.886
```

Properties
Symmetry: C2/m, No. 12
Formation energy from raw total energies, meV per atom: -834.9



The following is a DFT calculation (meta-GGA SCAN) of WSe3 at its PBEsol-relaxed geometry.

Structure (extended XYZ):
```
4
Lattice="2.978 0.000 0.000 0.000 2.978 0.000 0.000 0.000 9.209" Properties=species:S:1:pos:R:3 pbc="T T T"
Se 0.000 0.000 6.188
Se 1.489 1.489 0.000
Se 0.000 0.000 3.021
W 1.489 1.489 4.605
```

Properties
Symmetry: P4/mmm, No. 123
Formation energy from raw total energies, meV per atom: 116.0
Relative energy among the computed polymorphs, eV per atom: 0.000



The following is a DFT calculation (meta-GGA SCAN) of WSe3 at its PBEsol-relaxed geometry.

Structure (extended XYZ):
```
8
Lattice="-1.150 -1.082 3.487 0.945 -3.620 -0.811 10.725 4.210 2.742" Properties=species:S:1:pos:R:3 pbc="T T T"
Se 0.472 -1.810 -0.406
Se -0.575 -0.541 1.744
Se 4.736 0.389 3.784
Se 5.784 -0.881 1.635
Se 7.714 -0.983 4.341
Se 2.806 0.491 1.078
W 3.733 -1.680 2.812
W 6.786 1.188 2.607
```

Properties
Symmetry: I4/mmm, No. 139
Formation energy from raw total energies, meV per atom: 631.6
Relative energy among the computed polymorphs, eV per atom: 0.516



The following is a DFT calculation (meta-GGA SCAN) of WSe at its PBEsol-relaxed geometry.

Structure (extended XYZ):
```
2
Lattice="3.080 0.000 0.000 -1.540 2.668 0.000 0.000 0.000 3.873" Properties=species:S:1:pos:R:3 pbc="T T T"
Se 0.000 0.000 0.000
W 1.540 0.889 1.936
```

Properties
Symmetry: P-6m2, No. 187
Formation energy from raw total energies, meV per atom: 670.6
Relative energy among the computed polymorphs, eV per atom: 0.526



The following is a DFT calculation (meta-GGA SCAN) of W3Se at its PBEsol-relaxed geometry.

Structure (extended XYZ):
```
4
Lattice="2.872 0.000 0.000 -0.957 5.047 0.000 -0.957 -2.524 4.371" Properties=species:S:1:pos:R:3 pbc="T T T"
Se 0.000 0.000 0.000
W 0.957 -1.262 2.186
W 0.957 2.524 0.000
W -0.957 1.262 2.186
```

Properties
Symmetry: R-3m, No. 166
Formation energy from raw total energies, meV per atom: 768.6
Relative energy among the computed polymorphs, eV per atom: 0.258



The following is a DFT calculation (meta-GGA SCAN) of WSe4 at its PBEsol-relaxed geometry.

Structure (extended XYZ):
```
5
Lattice="5.227 0.000 0.000 -1.742 4.928 0.000 -1.742 -2.464 4.268" Properties=species:S:1:pos:R:3 pbc="T T T"
Se -0.871 -1.232 2.134
Se -0.871 2.464 0.000
Se 2.614 0.000 0.000
Se 0.871 1.232 2.134
W 0.000 0.000 0.000
```

Properties
Symmetry: Im-3m, No. 229
Formation energy from raw total energies, meV per atom: 706.2



The following is a DFT calculation (meta-GGA SCAN) of WSe at its PBEsol-relaxed geometry.

Structure (extended XYZ):
```
6
Lattice="3.112 0.000 0.000 -1.556 5.544 -0.011 0.000 -2.547 6.169" Properties=species:S:1:pos:R:3 pbc="T T T"
Se 0.000 -0.089 0.295
Se 0.000 2.466 3.595
Se 1.556 -0.148 4.643
W 1.556 0.788 2.163
W 1.556 3.820 2.147
W 0.000 2.429 0.492
```

Properties
Symmetry: Cm, No. 8
Formation energy from raw total energies, meV per atom: 144.6
Relative energy among the computed polymorphs, eV per atom: 0.000